Ti2RhPbN | GGA-PBE | optimized geometry

The structure belongs to space group P4/mmm (No. 123); the cell edges are 5.057, 5.057 and 3.690 Å and the angles 90.00°, 90.00° and 90.00°. The inequivalent atoms are Ti at (0.000, 0.500, 0.000), Rh at (0.000, 0.000, 0.000), Pb at (0.500, 0.500, 0.500) and N at (0.000, 0.000, 0.500).

The value obtained for the energy relative to the elements, uncorrected is 0.4361 eV/atom.